! PBE Mn2InFeN, optimized geometry; values from VASP
! - Formation energy from raw total energies: -0.0829 eV per atom
! - Density of states at the Fermi level: 4.37 states/eV/f.u.
! - Calculated volume: 59 Å³/cell
! - Symmetry: P4/mmm
! - Density: 8.28 g cm⁻³
&SYSTEM
  ibrav = 0, nat = 5, ntyp = 4
/
ATOMIC_SPECIES
Mn 54.94 Mn.upf
In 114.82 In.upf
Fe 55.84 Fe.upf
N 14.01 N.upf
CELL_PARAMETERS angstrom
-0.843 -3.130 -2.106
3.556 0.063 -1.517
1.291 -2.319 2.930
ATOMIC_POSITIONS crystal
Mn 0.500 0.000 0.000
In 0.500 0.500 0.500
Fe 0.000 0.000 0.500
N 0.000 0.000 0.000
Mn 0.000 0.500 0.000